A plane-wave DFT calculation with PBE was carried out for a relaxed structure of BaSr3Nb.

Unit cell a=6.1863 b=6.1863 c=6.1863 alpha=90.00 beta=90.00 gamma=90.00
Space group Pm-3m (No. 221)
Inequivalent atoms, fractional coordinates:
Ba: 0.0000 0.0000 0.0000 (multiplicity 1)
Sr: 0.0000 0.5000 0.5000 (multiplicity 3)
Nb: 0.5000 0.5000 0.5000 (multiplicity 1)

E_form   0.676 eV/atom
Offset from the most stable computed form   0 meV per atom
Total moment   0.55 Bohr magnetons per cell